# 1
InRu2RhI | PBE | optimized geometry Values from VASP.

Properties
total moment: 1.42 μB per formula unit
VASP energy: -4.688 eV/atom
formation energy without anion corrections: 1.35 eV/atom
symmetry: No. 123

Structure (Quantum ESPRESSO input):
```
&SYSTEM
  ibrav = 0, nat = 5, ntyp = 4
/
ATOMIC_SPECIES
I 126.90 I.upf
Ru 101.07 Ru.upf
Rh 102.91 Rh.upf
In 114.82 In.upf
ATOMIC_POSITIONS angstrom
I 0.000 0.000 0.000
Ru 1.467 -1.434 1.271
Ru -1.602 -0.038 1.805
Rh -1.049 -1.933 -0.971
In -1.184 -3.405 2.105
CELL_PARAMETERS angstrom
-3.203 -0.076 3.610
-2.097 -3.866 -1.942
2.933 -2.869 2.543
```

# 2
Al2ZnBr | PBE | optimized geometry Values from VASP.

Properties
E above lowest polymorph: 130.1 meV/atom
total moment: 0.00 μB per formula unit
VASP energy: -2.415 eV/atom
formation energy without anion corrections: 0.19 eV/atom
symmetry: No. 65

Structure (Quantum ESPRESSO input):
```
&SYSTEM
  ibrav = 0, nat = 4, ntyp = 3
/
ATOMIC_SPECIES
Zn 65.41 Zn.upf
Al 26.98 Al.upf
Br 79.90 Br.upf
ATOMIC_POSITIONS angstrom
Zn -0.018 2.555 1.578
Al 0.000 0.000 0.000
Al 2.537 2.562 0.000
Br 2.555 0.007 1.578
CELL_PARAMETERS angstrom
5.110 0.014 0.000
-0.035 5.109 0.000
0.000 0.000 3.155
```

# 3
Tb2PrScAs4 | PBE | optimized geometry Values from VASP.

Properties
total moment: 0.00 μB per formula unit
VASP energy: -6.318 eV/atom
symmetry: No. 10

Structure (Quantum ESPRESSO input):
```
&SYSTEM
  ibrav = 0, nat = 8, ntyp = 4
/
ATOMIC_SPECIES
Tb 158.93 Tb.upf
Pr 140.91 Pr.upf
Sc 44.96 Sc.upf
As 74.92 As.upf
ATOMIC_POSITIONS angstrom
Tb 2.066 -1.249 3.349
Tb 0.000 2.319 3.410
Pr 2.066 3.568 0.061
Sc 0.000 0.000 0.000
As 2.066 1.080 1.659
As 2.066 3.559 5.162
As 0.000 -0.170 5.040
As 0.000 4.809 1.781
CELL_PARAMETERS angstrom
4.132 0.000 0.000
0.000 7.136 0.123
0.000 -2.498 6.698
```

# 4
CaAc2InHg6 | PBE | optimized geometry Values from VASP.

Properties
total moment: 0.00 μB per formula unit
VASP energy: -1.498 eV/atom
symmetry: No. 225

Structure (Quantum ESPRESSO input):
```
&SYSTEM
  ibrav = 0, nat = 10, ntyp = 4
/
ATOMIC_SPECIES
Ca 40.08 Ca.upf
Ac 227.00 Ac.upf
In 114.82 In.upf
Hg 200.59 Hg.upf
ATOMIC_POSITIONS angstrom
Ca 3.908 3.908 0.000
Ac 3.909 7.816 2.764
Ac 7.817 3.908 2.764
In 0.000 0.000 0.000
Hg 1.935 5.882 0.000
Hg 5.882 5.882 0.000
Hg 3.908 3.908 2.792
Hg 5.882 1.934 0.000
Hg 1.934 1.934 0.000
Hg 7.817 7.816 2.736
CELL_PARAMETERS angstrom
7.816 0.000 0.000
0.000 7.816 0.000
3.908 3.908 5.527
```

# 5
Nd2SmGa3Rh4 | PBE | optimized geometry Values from VASP.

Properties
total moment: 0.00 μB per formula unit
VASP energy: -6.024 eV/atom
symmetry: No. 115

Structure (Quantum ESPRESSO input):
```
&SYSTEM
  ibrav = 0, nat = 10, ntyp = 4
/
ATOMIC_SPECIES
Nd 144.24 Nd.upf
Sm 150.36 Sm.upf
Ga 69.72 Ga.upf
Rh 102.91 Rh.upf
ATOMIC_POSITIONS angstrom
Nd 2.154 0.000 2.406
Nd 0.000 2.154 8.577
Sm 2.154 2.154 5.492
Ga 0.000 0.000 5.492
Ga 2.154 0.000 9.717
Ga 0.000 2.154 1.266
Rh 2.154 2.154 0.000
Rh 0.000 0.000 0.000
Rh 2.154 0.000 7.206
Rh 0.000 2.154 3.777
CELL_PARAMETERS angstrom
4.308 0.000 0.000
0.000 4.308 0.000
0.000 0.000 10.983
```

# 6
ZrTe2Pb | PBE | optimized geometry Values from VASP.

Properties
total moment: 0.00 μB per formula unit
VASP energy: -5.225 eV/atom
formation energy without anion corrections: -0.59 eV/atom
symmetry: No. 166

Structure (Quantum ESPRESSO input):
```
&SYSTEM
  ibrav = 0, nat = 4, ntyp = 3
/
ATOMIC_SPECIES
Pb 207.20 Pb.upf
Te 127.60 Te.upf
Zr 91.22 Zr.upf
ATOMIC_POSITIONS angstrom
Pb 0.000 0.000 0.000
Te 0.000 0.000 27.468
Te 0.000 0.000 3.250
Zr 0.000 0.000 15.359
CELL_PARAMETERS angstrom
2.213 0.000 10.239
-1.107 1.917 10.239
-1.107 -1.917 10.239
```

# 7
NaAlCdAg | PBE | optimized geometry Values from VASP.

Properties
total moment: 0.00 μB per formula unit
VASP energy: -2.196 eV/atom
symmetry: No. 216

Structure (Quantum ESPRESSO input):
```
&SYSTEM
  ibrav = 0, nat = 4, ntyp = 4
/
ATOMIC_SPECIES
Na 22.99 Na.upf
Al 26.98 Al.upf
Ag 107.87 Ag.upf
Cd 112.41 Cd.upf
ATOMIC_POSITIONS angstrom
Na 7.240 4.180 2.956
Al 2.413 1.393 0.985
Ag 0.000 0.000 0.000
Cd 4.827 2.787 1.970
CELL_PARAMETERS angstrom
4.827 0.000 0.000
2.413 4.180 0.000
2.413 1.393 3.941
```

# 8
Ac3NdP2N6 | PBE | optimized geometry Values from VASP.

Properties
total moment: 0.00 μB per formula unit
VASP energy: -7.590 eV/atom
formation energy without anion corrections: -1.10 eV/atom
symmetry: No. 164

Structure (Quantum ESPRESSO input):
```
&SYSTEM
  ibrav = 0, nat = 12, ntyp = 4
/
ATOMIC_SPECIES
Ac 227.00 Ac.upf
Nd 144.24 Nd.upf
P 30.97 P.upf
N 14.01 N.upf
ATOMIC_POSITIONS angstrom
Ac 4.439 -2.772 2.075
Ac 1.020 -4.008 0.331
Ac 0.000 0.000 0.000
Nd 1.194 -1.451 2.839
P 2.156 -5.387 3.031
P 3.303 -1.393 -0.626
N 3.643 -3.045 -0.757
N 2.267 -1.307 0.709
N 4.751 -0.737 -0.044
N 3.193 -5.473 1.697
N 1.816 -3.735 3.163
N 0.708 -6.043 2.450
CELL_PARAMETERS angstrom
-2.473 -5.152 -1.592
5.545 1.273 -1.681
2.388 -2.901 5.679
```

# 9
CoRe2Mo | PBE | optimized geometry Values from VASP.

Properties
E above lowest polymorph: 16.9 meV/atom
total moment: 0.00 μB per formula unit
VASP energy: -10.644 eV/atom
symmetry: No. 119

Structure (Quantum ESPRESSO input):
```
&SYSTEM
  ibrav = 0, nat = 4, ntyp = 3
/
ATOMIC_SPECIES
Co 58.93 Co.upf
Mo 95.94 Mo.upf
Re 186.21 Re.upf
ATOMIC_POSITIONS angstrom
Co 3.088 2.204 0.000
Mo 0.754 2.209 1.369
Re 0.000 0.000 0.000
Re 2.339 -0.011 1.361
CELL_PARAMETERS angstrom
4.673 -0.016 -0.008
1.504 4.425 0.008
-3.084 -2.210 2.730
```

# 10
GeCI2 | PBE | optimized geometry Values from VASP.

Properties
E above lowest polymorph: 147.5 meV/atom
total moment: 1.54 μB per formula unit
VASP energy: -2.508 eV/atom
formation energy without anion corrections: 1.73 eV/atom
symmetry: No. 225

Structure (Quantum ESPRESSO input):
```
&SYSTEM
  ibrav = 0, nat = 4, ntyp = 3
/
ATOMIC_SPECIES
I 126.90 I.upf
Ge 72.64 Ge.upf
C 12.01 C.upf
ATOMIC_POSITIONS angstrom
I -2.074 1.183 2.093
I -6.221 3.549 6.279
Ge -4.147 2.366 4.186
C 0.000 0.000 0.000
CELL_PARAMETERS angstrom
-1.579 -0.140 4.937
-1.684 4.327 2.307
-5.031 0.546 1.129
```

# 11
MnHSe | PBE | optimized geometry Values from VASP.

Properties
total moment: 4.93 μB per formula unit
VASP energy: -5.534 eV/atom
symmetry: No. 2

Structure (Quantum ESPRESSO input):
```
&SYSTEM
  ibrav = 0, nat = 6, ntyp = 3
/
ATOMIC_SPECIES
Mn 54.94 Mn.upf
H 1.01 H.upf
Se 78.96 Se.upf
ATOMIC_POSITIONS angstrom
Mn 0.901 -1.882 7.794
Mn -0.743 -2.590 0.183
H 1.617 -1.170 4.553
H -1.459 -3.302 3.424
Se -1.362 -2.265 6.689
Se 1.521 -2.207 1.288
CELL_PARAMETERS angstrom
-2.928 -2.829 -1.373
4.127 -1.166 0.312
-1.041 -0.478 9.037
```

# 12
K2MnFeCl6 | PBE | optimized geometry Values from VASP.

Properties
total moment: 9.00 μB per formula unit
VASP energy: -4.386 eV/atom
formation energy without anion corrections: -1.30 eV/atom
symmetry: No. 2

Structure (Quantum ESPRESSO input):
```
&SYSTEM
  ibrav = 0, nat = 10, ntyp = 4
/
ATOMIC_SPECIES
K 39.10 K.upf
Mn 54.94 Mn.upf
Fe 55.84 Fe.upf
Cl 35.45 Cl.upf
ATOMIC_POSITIONS angstrom
K 7.065 3.956 1.806
K 3.588 1.948 4.648
Mn 10.607 5.932 3.280
Fe 3.524 1.984 0.332
Cl 5.310 0.959 1.791
Cl 1.806 0.587 1.460
Cl 3.182 3.772 2.017
Cl 8.848 5.316 4.994
Cl 7.471 2.131 4.437
Cl 5.342 4.945 4.662
CELL_PARAMETERS angstrom
7.084 -0.075 0.106
3.480 6.033 0.003
3.601 1.937 5.788
```